<w>
# CsRb3Hg

Crystalline CsRb3Hg at its relaxed geometry (PBE-GGA, the Alexandria database).

Lattice parameters (Å, degrees): 7.7165 9.7860 9.9650 90.00 98.69 90.00
Fractional positions:
Cs: 0.0342 0.2500 0.0928
Cs: 0.9658 0.7500 0.9072
Rb: 0.1016 0.7500 0.4269
Rb: 0.4485 0.0134 0.7505
Rb: 0.4485 0.4866 0.7505
Rb: 0.5515 0.5134 0.2495
Rb: 0.5515 0.9866 0.2495
Rb: 0.8984 0.2500 0.5731
Hg: 0.3381 0.2500 0.4492
Hg: 0.6619 0.7500 0.5508

Values from the calculation:
- N(E_F): 6.71 states/eV per cell

=====

<x>
# CsRb3Hg

Crystalline CsRb3Hg at its relaxed geometry (PBE-GGA, the Alexandria database).

Lattice parameters (Å, degrees): 8.8188 8.8188 8.8188 90.00 90.00 90.00
Fractional positions:
Cs: 0.0000 0.0000 0.0000
Rb: 0.0000 0.0000 0.5000
Rb: 0.0000 0.5000 0.0000
Rb: 0.5000 0.0000 0.0000
Hg: 0.5000 0.5000 0.5000

Values from the calculation:
- N(E_F): 5.44 states/eV per cell

=====

Quick one: most stable of them? <w>

=====

<w>
# CsRb3Hg

Crystalline CsRb3Hg at its relaxed geometry (PBE-GGA, the Alexandria database).

Lattice parameters (Å, degrees): 12.6363 12.6363 11.7741 108.95 108.95 24.58
Fractional positions:
Cs: 0.0357 0.0357 0.2251
Cs: 0.9643 0.9643 0.7749
Rb: 0.1688 0.1688 0.9763
Rb: 0.2850 0.2850 0.6801
Rb: 0.3947 0.3947 0.3749
Rb: 0.6053 0.6053 0.6251
Rb: 0.7150 0.7150 0.3199
Rb: 0.8312 0.8312 0.0237
Hg: 0.4357 0.4357 0.9969
Hg: 0.5643 0.5643 0.0031

Values from the calculation:
- N(E_F): 7.73 states/eV per cell

=====

<x>
# CsRb3Hg

Crystalline CsRb3Hg at its relaxed geometry (PBE-GGA, the Alexandria database).

Lattice parameters (Å, degrees): 7.3247 7.3247 7.3247 90.00 90.00 90.00
Fractional positions:
Cs: 0.0000 0.0000 0.0000
Rb: 0.0000 0.5000 0.5000
Rb: 0.5000 0.0000 0.5000
Rb: 0.5000 0.5000 0.0000
Hg: 0.5000 0.5000 0.5000

Values from the calculation:
- N(E_F): 3.48 states/eV per cell

=====

Quick one: most stable of them? <w>

=====

<w>
# Cs2Rb6Hg

Crystalline Cs2Rb6Hg at its relaxed geometry (PBE-GGA, the Alexandria database).

Lattice parameters (Å, degrees): 10.2785 10.2785 10.2814 120.00 120.00 60.02
Fractional positions:
Cs: 0.2500 0.2500 0.2497
Cs: 0.7500 0.7500 0.7503
Rb: 0.2472 0.2472 0.7466
Rb: 0.2472 0.7525 0.2526
Rb: 0.2475 0.7528 0.7474
Rb: 0.7525 0.2472 0.2526
Rb: 0.7528 0.2475 0.7474
Rb: 0.7528 0.7528 0.2534
Hg: 0.5000 0.5000 0.0000

Values from the calculation:
- N(E_F): 6.98 states/eV per cell

=====

<x>
# Cs2Rb6Hg

Crystalline Cs2Rb6Hg at its relaxed geometry (PBE-GGA, the Alexandria database).

Lattice parameters (Å, degrees): 12.7928 12.7928 5.2533 101.61 101.61 66.22
Fractional positions:
Cs: 0.1216 0.1216 0.1521
Cs: 0.8784 0.8784 0.8479
Rb: 0.1709 0.4758 0.8297
Rb: 0.3026 0.6974 0.5000
Rb: 0.4758 0.1709 0.8297
Rb: 0.5242 0.8291 0.1703
Rb: 0.6974 0.3026 0.5000
Rb: 0.8291 0.5242 0.1703
Hg: 0.5000 0.5000 0.0000

Values from the calculation:
- N(E_F): 7.69 states/eV per cell

=====

Quick one: most stable of them? <w>